# K3HW

A relaxed structure of K3HW (PBE-GGA, the Alexandria database).

Cell lengths 5.5821, 5.5821, 5.5821 Å; angles 90.00, 90.00, 90.00 degrees
Each line ends with the local moment (μB).
Positions (direct):
H: 0.0000 0.0000 0.0000  0.02
K: 0.0000 0.5000 0.0000  0.04
K: 0.0000 0.0000 0.5000  0.04
K: 0.5000 0.0000 0.0000  0.02
W: 0.5000 0.5000 0.5000  3.43

Calculated values
E (Ry per atom): -0.2050
N(E_F) (states/eV per atom): 0.32
SG: No. 221